SmMgTiIn | PBE-GGA | relaxed

Structure (POSCAR):
```
SmMgTiIn
1.0
5.1047 0.0000 0.0000
2.5524 4.4208 0.0000
2.5524 1.4736 4.1680
Mg Ti Sm In
1 1 1 1
Direct
0.5000 0.5000 0.5000
0.2500 0.2500 0.2500
0.7500 0.7500 0.7500
0.0000 0.0000 0.0000
```

The total energy comes out at -17.19 eV/cell. Its formation energy from the elements is -0.061 eV per atom.

GaMoSCl2 | PBE-GGA | relaxed

Structure (POSCAR):
```
GaMoSCl2
1.0
4.7815 0.0000 0.0000
0.0000 4.7815 0.0000
0.0000 0.0000 4.9092
Mo S Ga Cl
1 1 1 2
Direct
0.5000 0.5000 0.5000
0.0000 0.0000 0.5000
0.0000 0.0000 0.0000
0.0000 0.5000 0.0000
0.5000 0.0000 0.0000
```

The total energy comes out at -20.02 eV/cell. The value obtained for the energy above the most stable polymorph in this dataset is 0.641 eV per atom.

Tb5Pr2Ho3 | PBE-GGA | relaxed

Structure (POSCAR):
```
Tb5Pr2Ho3
1.0
6.8185 0.0000 0.0000
3.4092 11.5022 2.8448
3.4092 5.7952 10.3349
Tb Pr Ho
10 4 6
Direct
0.2500 0.5000 0.5000
0.7500 0.5000 0.5000
0.5013 0.7487 0.7487
0.9987 0.2513 0.2513
0.4987 0.2513 0.2513
0.0013 0.7487 0.7487
0.1245 0.4647 0.2863
0.8755 0.5353 0.7137
0.6245 0.2863 0.4647
0.3755 0.7137 0.5353
0.1250 0.7717 0.9783
0.8750 0.2283 0.0217
0.6250 0.9783 0.7717
0.3750 0.0217 0.2283
0.2500 0.0000 0.0000
0.7500 0.0000 0.0000
0.3760 0.3742 0.8738
0.6240 0.6258 0.1262
0.8760 0.8738 0.3742
0.1240 0.1262 0.6258
```

The total energy comes out at -84.84 eV/cell. The value obtained for the energy above the most stable polymorph in this dataset is 0.209 eV per atom. Its formation energy from the elements is 0.402 eV per atom.

| no. | calculated volume (Å³/atom) |
| --- | --- |
| 1 | 23.52 |
| 2 | 22.45 |
| 3 | 34.91 |